[1]
## NaZr2As2 (GGA-PBE)

Data for a geometry-optimized NaZr2As2 structure.

As for the theoretical density: 5.66 g/cm³. The calculated volume comes out at 20.85 Å³ per atom. As for the formation energy: -0.56 eV per atom. As for the total moment: 0.000 μB per formula unit.

Lattice parameters (Å, degrees): 7.772 7.772 3.452 90.00 90.00 90.00
Space group P4/mbm (No. 127)
Unique sites:
Na1 0.000 0.000 0.000 (multiplicity 2)
Zr1 0.136 0.364 0.000 (multiplicity 4)
As1 0.155 0.655 0.500 (multiplicity 4)

***

[2]
## NbAs (GGA-PBE)

Data for a geometry-optimized NbAs structure.

As for the theoretical density: 7.83 g/cm³. The calculated volume comes out at 17.79 Å³ per atom. As for the formation energy: -0.68 eV per atom. As for the total moment: 0.000 μB per formula unit.

Lattice parameters (Å, degrees): 3.4300 3.4300 3.4912 90.00 90.00 120.00
Space group P-6m2 (No. 187)
Unique sites:
Nb1 0.0000 0.0000 0.0000 (multiplicity 1)
As1 0.3333 0.6667 0.5000 (multiplicity 1)

***

[3]
## NbAs2 (GGA-PBE)

Data for a geometry-optimized NbAs2 structure.

As for the theoretical density: 7.42 g/cm³. The calculated volume comes out at 18.11 Å³ per atom. As for the formation energy: -0.40 eV per atom. As for the total moment: 0.000 μB per formula unit.

Lattice parameters (Å, degrees): 6.012 6.012 6.013 90.00 90.00 90.00
Space group I4/mcm (No. 140)
Unique sites:
Nb1 0.000 0.000 0.250 (multiplicity 4)
As1 0.145 0.355 0.000 (multiplicity 8)

***

[4]
## Nb3As (GGA-PBE)

Data for a geometry-optimized Nb3As structure.

As for the theoretical density: 8.37 g/cm³. The calculated volume comes out at 17.54 Å³ per atom. As for the formation energy: -0.45 eV per atom. As for the total moment: 0.000 μB per formula unit.

Lattice parameters (Å, degrees): 10.359 10.359 5.231 90.00 90.00 90.00
Space group P4_2/n (No. 86, origin choice 2)
Unique sites:
Nb1 0.037 0.555 0.242 (multiplicity 8)
Nb2 0.101 0.240 0.016 (multiplicity 8)
Nb3 0.157 0.665 0.730 (multiplicity 8)
As1 0.044 0.231 0.518 (multiplicity 8)

***

[5]
## NbAs (GGA-PBE)

Data for a geometry-optimized NbAs structure.

As for the theoretical density: 7.84 g/cm³. The calculated volume comes out at 17.78 Å³ per atom. As for the formation energy: -0.69 eV per atom. As for the total moment: 0.000 μB per formula unit.

Lattice parameters (Å, degrees): 3.479 3.479 11.749 90.00 90.00 90.00
Space group I4_1md (No. 109)
Unique sites:
Nb1 0.000 0.000 0.000 (multiplicity 4)
As1 0.000 0.000 0.418 (multiplicity 4)

***

[6]
## NbAs (GGA-PBE)

Data for a geometry-optimized NbAs structure.

As for the theoretical density: 7.19 g/cm³. The calculated volume comes out at 19.37 Å³ per atom. As for the formation energy: -0.34 eV per atom. As for the total moment: 0.000 μB per formula unit.

Lattice parameters (Å, degrees): 6.421 6.446 7.487 90.00 90.00 90.00
Space group P2_12_12_1 (No. 19)
Unique sites:
Nb1 0.014 0.105 0.323 (multiplicity 4)
Nb2 0.157 0.207 0.959 (multiplicity 4)
As1 0.117 0.992 0.675 (multiplicity 4)
As2 0.162 0.443 0.464 (multiplicity 4)